NaAcFeO4: relaxed, PBE with a Hubbard U.

Summary:
Total DFT energy (no corrections) ... -89.27 eV for the cell shown

Cell lengths 6.117, 5.634, 7.538 Å; angles 90.00, 105.92, 90.00 degrees
Space group P2_1/m (No. 11)
Inequivalent atoms, fractional coordinates:
Na 0.197 0.250 0.146 (multiplicity 2)
Ac 0.246 0.750 0.456 (multiplicity 2)
Fe 0.315 0.250 0.722 (multiplicity 2)
O 0.086 0.250 0.832 (multiplicity 2)
O 0.131 0.250 0.469 (multiplicity 2)
O 0.494 0.507 0.288 (multiplicity 4)